1.
Here is a relaxed Y2TeP crystal from the Alexandria database. Energies are from PBEsol.

Summary:
For the electronic total energy, the calculation gives -6.84 eV/atom. The calculation puts the energy relative to the lowest polymorph listed for this composition at 518 meV/atom. As for the uncorrected formation energy: -4.4 eV/f.u. As for the space group: No. 12. The value obtained for the total moment is 0.00 μB/f.u.

Cell: 5.1228 5.1228 3.6105 Å, 95.45 95.45 90.80°
With the nearest neighbours (Å) after each atom.
Fractional positions:
Y (0.0000, 0.5000, 0.0000)  4 Te 2.99-3.27, 4 P 2.99-3.27
Y (0.5000, 0.0000, 0.0000)  4 Te 2.99-3.27, 4 P 2.99-3.27
Te (0.0000, 0.0000, 0.5000)  8 Y 2.99-3.27
P (0.5000, 0.5000, 0.5000)  8 Y 2.99-3.27


2.
Here is a relaxed Y2TeP crystal from the Alexandria database. Energies are from PBEsol.

Summary:
For the electronic total energy, the calculation gives -6.93 eV/atom. The calculation puts the energy relative to the lowest polymorph listed for this composition at 438 meV/atom. As for the uncorrected formation energy: -4.7 eV/f.u. As for the space group: No. 65. The value obtained for the total moment is 0.00 μB/f.u.

Cell: 3.5891 3.5891 7.4257 Å, 90.00 90.00 100.26°
With the nearest neighbours (Å) after each atom.
Fractional positions:
Y (0.0000, 0.0000, 0.2239)  2 P 2.84, 2 Te 3.08
Y (0.0000, 0.0000, 0.7761)  2 P 2.84, 2 Te 3.08
Te (0.5000, 0.5000, 0.5000)  8 Y 3.08-3.43
P (0.5000, 0.5000, 0.0000)  4 Y 2.84


3.
Here is a relaxed YTe2P crystal from the Alexandria database. Energies are from PBEsol.

Summary:
For the electronic total energy, the calculation gives -5.11 eV/atom. As for the uncorrected formation energy: -0.8 eV/f.u. As for the space group: No. 216. The value obtained for the total moment is 0.00 μB/f.u.

Cell: 5.1435 5.1435 5.1435 Å, 60.00 60.00 60.00°
With the nearest neighbours (Å) after each atom.
Fractional positions:
Y (0.0000, 0.0000, 0.0000)  4 Te 3.15, 4 P 3.15
Te (0.5000, 0.5000, 0.5000)  4 Te 3.15, 4 P 3.15
Te (0.7500, 0.7500, 0.7500)  4 Te 3.15, 4 Y 3.15
P (0.2500, 0.2500, 0.2500)  4 Te 3.15, 4 Y 3.15


4.
Here is a relaxed Y2TeP crystal from the Alexandria database. Energies are from PBEsol.

Summary:
For the electronic total energy, the calculation gives -7.36 eV/atom. The calculation puts the energy relative to the lowest polymorph listed for this composition at 0 meV/atom. As for the uncorrected formation energy: -6.5 eV/f.u. As for the space group: No. 166. The value obtained for the total moment is 0.00 μB/f.u.

Cell: 7.3523 7.3523 7.3523 Å, 32.09 32.09 32.09°
With the nearest neighbours (Å) after each atom.
Fractional positions:
Y (0.2371, 0.2371, 0.2371)  3 P 2.77, 3 Te 3.09
Y (0.7629, 0.7629, 0.7629)  3 P 2.77, 3 Te 3.09
Te (0.0000, 0.0000, 0.0000)  6 Y 3.09
P (0.5000, 0.5000, 0.5000)  6 Y 2.77


5.
Here is a relaxed ZnTeP2 crystal from the Alexandria database. Energies are from PBEsol.

Summary:
For the electronic total energy, the calculation gives -4.11 eV/atom. The calculation puts the energy relative to the lowest polymorph listed for this composition at 0 meV/atom. As for the uncorrected formation energy: 0.2 eV/f.u. As for the space group: No. 12. The value obtained for the total moment is 0.00 μB/f.u.

Cell: 5.6516 5.6516 5.1099 Å, 108.76 108.76 33.13°
With the nearest neighbours (Å) after each atom.
Fractional positions:
Zn (0.0000, 0.0000, 0.0000)  2 P 2.41
Te (0.5000, 0.5000, 0.5000)  2 P 2.85, 4 Zn 3.02
P (0.2354, 0.2354, 0.1344)  2 P 2.21, 1 Zn 2.41
P (0.7646, 0.7646, 0.8656)  2 P 2.21, 1 Zn 2.41


6.
Here is a relaxed ZnTeP2 crystal from the Alexandria database. Energies are from PBEsol.

Summary:
For the electronic total energy, the calculation gives -3.63 eV/atom. The calculation puts the energy relative to the lowest polymorph listed for this composition at 484 meV/atom. As for the uncorrected formation energy: 2.2 eV/f.u. As for the space group: No. 47. The value obtained for the total moment is 0.00 μB/f.u.

Cell: 3.3887 4.5349 4.6315 Å, 90.00 90.00 90.00°
With the nearest neighbours (Å) after each atom.
Fractional positions:
Zn (0.0000, 0.0000, 0.0000)  4 Te 2.83, 4 P 2.87
Te (0.5000, 0.5000, 0.0000)  4 Zn 2.83, 4 P 2.87
P (0.0000, 0.5000, 0.5000)  4 P 2.83, 4 Te 2.87
P (0.5000, 0.0000, 0.5000)  4 P 2.83, 4 Zn 2.87


7.
Here is a relaxed ZrTeP4 crystal from the Alexandria database. Energies are from PBEsol.

Summary:
For the electronic total energy, the calculation gives -5.84 eV/atom. As for the uncorrected formation energy: 0.7 eV/f.u. As for the space group: No. 216. The value obtained for the total moment is 0.00 μB/f.u.

Cell: 5.2106 5.2106 5.2106 Å, 60.00 60.00 60.00°
With the nearest neighbours (Å) after each atom.
Fractional positions:
Zr (0.0000, 0.0000, 0.0000)  12 P 3.05, 4 Te 3.19
Te (0.7500, 0.7500, 0.7500)  12 P 3.06, 4 Zr 3.19
P (0.3719, 0.3719, 0.3719)  6 P 2.54-2.67
P (0.3719, 0.3719, 0.8844)  6 P 2.54-2.67
P (0.3719, 0.8844, 0.3719)  6 P 2.54-2.67
P (0.8844, 0.3719, 0.3719)  6 P 2.54-2.67


8.
Here is a relaxed Zr2Te2P crystal from the Alexandria database. Energies are from PBEsol.

Summary:
For the electronic total energy, the calculation gives -7.36 eV/atom. As for the uncorrected formation energy: -5.8 eV/f.u. As for the space group: No. 166. The value obtained for the total moment is 0.00 μB/f.u.

Cell: 9.8506 9.8506 9.8506 Å, 22.12 22.12 22.12°
With the nearest neighbours (Å) after each atom.
Fractional positions:
Zr (0.1172, 0.1172, 0.1172)  3 P 2.61, 3 Te 2.89
Zr (0.8828, 0.8828, 0.8828)  3 P 2.61, 3 Te 2.89
Te (0.2819, 0.2819, 0.2819)  3 Zr 2.89
Te (0.7181, 0.7181, 0.7181)  3 Zr 2.89
P (0.5000, 0.5000, 0.5000)  6 Zr 2.61